[1]
The following is a DFT calculation (PBE) of crystalline SrZr2Ni at its relaxed geometry.

Unit cell a=5.079 b=5.079 c=5.079 alpha=60.00 beta=60.00 gamma=60.00
Atoms (fractional coordinates):
Sr (0.000, 0.000, 0.000)
Zr (0.500, 0.500, 0.500)
Zr (0.750, 0.750, 0.750)
Ni (0.250, 0.250, 0.250)

Calculated values
SG	No. 216
energy of formation	577	meV/atom
total DFT energy (no corrections)	-0.409	Ry/atom

---

[2]
The following is a DFT calculation (PBE) of crystalline Er2HPb2 at its relaxed geometry.

Unit cell a=8.297 b=8.297 c=8.388 alpha=90.00 beta=90.00 gamma=154.04
Atoms (fractional coordinates):
Er (0.057, 0.943, 0.500)
Er (0.365, 0.635, 0.327)
Er (0.635, 0.365, 0.827)
Er (0.943, 0.057, 0.000)
H (0.109, 0.891, 0.730)
H (0.891, 0.109, 0.230)
Pb (0.282, 0.718, 0.959)
Pb (0.430, 0.570, 0.684)
Pb (0.570, 0.430, 0.184)
Pb (0.718, 0.282, 0.459)

Calculated values
SG	No. 36
total DFT energy (no corrections)	-0.319	Ry/atom

---

[3]
The following is a DFT calculation (PBE) of crystalline DyErCuAg at its relaxed geometry.

Unit cell a=3.526 b=3.526 c=7.118 alpha=90.00 beta=90.00 gamma=90.00
Atoms (fractional coordinates):
Dy (0.000, 0.000, 0.000)
Er (0.000, 0.000, 0.472)
Cu (0.500, 0.500, 0.241)
Ag (0.500, 0.500, 0.732)

Calculated values
SG	No. 99
energy of formation	-293	meV/atom
total DFT energy (no corrections)	-0.318	Ry/atom

---

[4]
The following is a DFT calculation (PBE) of crystalline La2PmEr12 at its relaxed geometry.

Unit cell a=6.452 b=6.452 c=24.667 alpha=90.00 beta=90.00 gamma=90.00
Atoms (fractional coordinates):
La (0.250, 0.750, 0.237)
La (0.250, 0.750, 0.763)
La (0.750, 0.250, 0.237)
La (0.750, 0.250, 0.763)
Pm (0.250, 0.750, 0.500)
Pm (0.750, 0.250, 0.500)
Er (0.001, 0.501, 0.387)
Er (0.001, 0.999, 0.613)
Er (0.081, 0.581, 0.940)
Er (0.081, 0.919, 0.060)
Er (0.250, 0.250, 0.160)
Er (0.250, 0.250, 0.287)
Er (0.250, 0.250, 0.713)
Er (0.250, 0.250, 0.840)
Er (0.419, 0.581, 0.060)
Er (0.419, 0.919, 0.940)
Er (0.499, 0.501, 0.613)
Er (0.499, 0.999, 0.387)
Er (0.501, 0.001, 0.613)
Er (0.501, 0.499, 0.387)
Er (0.581, 0.081, 0.060)
Er (0.581, 0.419, 0.940)
Er (0.750, 0.750, 0.160)
Er (0.750, 0.750, 0.287)
Er (0.750, 0.750, 0.713)
Er (0.750, 0.750, 0.840)
Er (0.919, 0.081, 0.940)
Er (0.919, 0.419, 0.060)
Er (0.999, 0.001, 0.387)
Er (0.999, 0.499, 0.613)

Calculated values
SG	No. 125
energy of formation	361	meV/atom
total DFT energy (no corrections)	-0.313	Ry/atom

---

[5]
The following is a DFT calculation (PBE) of crystalline HfNb2Fe at its relaxed geometry.

Unit cell a=3.127 b=3.127 c=7.098 alpha=90.00 beta=90.00 gamma=90.00
Atoms (fractional coordinates):
Hf (0.000, 0.000, 0.000)
Nb (0.500, 0.500, 0.286)
Nb (0.500, 0.500, 0.714)
Fe (0.000, 0.000, 0.500)

Calculated values
SG	No. 123
energy of formation	10	meV/atom
total DFT energy (no corrections)	-0.708	Ry/atom

---

[6]
The following is a DFT calculation (PBE) of crystalline Zr3Zn5H12 at its relaxed geometry.

Unit cell a=9.928 b=9.928 c=9.928 alpha=109.47 beta=109.47 gamma=109.47
Atoms (fractional coordinates):
Zr (0.125, 0.250, 0.375)
Zr (0.125, 0.375, 0.750)
Zr (0.250, 0.375, 0.125)
Zr (0.250, 0.875, 0.625)
Zr (0.375, 0.125, 0.250)
Zr (0.375, 0.750, 0.125)
Zr (0.625, 0.250, 0.875)
Zr (0.625, 0.875, 0.750)
Zr (0.750, 0.125, 0.375)
Zr (0.750, 0.625, 0.875)
Zr (0.875, 0.625, 0.250)
Zr (0.875, 0.750, 0.625)
Zn (0.000, 0.000, 0.000)
Zn (0.000, 0.000, 0.500)
Zn (0.000, 0.500, 0.000)
Zn (0.000, 0.500, 0.500)
Zn (0.125, 0.750, 0.875)
Zn (0.125, 0.875, 0.250)
Zn (0.250, 0.125, 0.875)
Zn (0.250, 0.625, 0.375)
Zn (0.375, 0.250, 0.625)
Zn (0.375, 0.625, 0.750)
Zn (0.500, 0.000, 0.000)
Zn (0.500, 0.000, 0.500)
Zn (0.500, 0.500, 0.000)
Zn (0.500, 0.500, 0.500)
Zn (0.625, 0.375, 0.250)
Zn (0.625, 0.750, 0.375)
Zn (0.750, 0.375, 0.625)
Zn (0.750, 0.875, 0.125)
Zn (0.875, 0.125, 0.750)
Zn (0.875, 0.250, 0.125)
H (0.056, 0.234, 0.144)
H (0.056, 0.322, 0.912)
H (0.088, 0.644, 0.409)
H (0.088, 0.944, 0.678)
H (0.091, 0.734, 0.678)
H (0.091, 0.856, 0.412)
H (0.144, 0.056, 0.234)
H (0.144, 0.588, 0.909)
H (0.178, 0.234, 0.591)
H (0.178, 0.444, 0.588)
H (0.234, 0.144, 0.056)
H (0.234, 0.591, 0.178)
H (0.266, 0.322, 0.909)
H (0.266, 0.444, 0.356)
H (0.322, 0.909, 0.266)
H (0.322, 0.912, 0.056)
H (0.356, 0.266, 0.444)
H (0.356, 0.591, 0.912)
H (0.409, 0.088, 0.644)
H (0.409, 0.822, 0.766)
H (0.412, 0.091, 0.856)
H (0.412, 0.822, 0.556)
H (0.444, 0.356, 0.266)
H (0.444, 0.588, 0.178)
H (0.556, 0.412, 0.822)
H (0.556, 0.644, 0.734)
H (0.588, 0.178, 0.444)
H (0.588, 0.909, 0.144)
H (0.591, 0.178, 0.234)
H (0.591, 0.912, 0.356)
H (0.644, 0.409, 0.088)
H (0.644, 0.734, 0.556)
H (0.678, 0.088, 0.944)
H (0.678, 0.091, 0.734)
H (0.734, 0.556, 0.644)
H (0.734, 0.678, 0.091)
H (0.766, 0.409, 0.822)
H (0.766, 0.856, 0.944)
H (0.822, 0.556, 0.412)
H (0.822, 0.766, 0.409)
H (0.856, 0.412, 0.091)
H (0.856, 0.944, 0.766)
H (0.909, 0.144, 0.588)
H (0.909, 0.266, 0.322)
H (0.912, 0.056, 0.322)
H (0.912, 0.356, 0.591)
H (0.944, 0.678, 0.088)
H (0.944, 0.766, 0.856)

Calculated values
SG	No. 230
total DFT energy (no corrections)	-0.262	Ry/atom

---

[7]
The following is a DFT calculation (PBE) of crystalline Rb2BaPaO4 at its relaxed geometry.

Unit cell a=7.109 b=3.676 c=7.573 alpha=90.00 beta=115.72 gamma=90.00
Atoms (fractional coordinates):
Rb (0.000, 0.000, 0.000)
Rb (0.500, 0.500, 0.000)
Ba (0.000, 0.500, 0.500)
Pa (0.500, 0.000, 0.500)
O (0.312, 0.000, 0.651)
O (0.312, 0.500, 0.328)
O (0.688, 0.000, 0.349)
O (0.688, 0.500, 0.672)

Calculated values
SG	No. 10
formation energy (no corrections)	-2.455	eV per atom
total DFT energy (no corrections)	-0.485	Ry/atom

---

[8]
The following is a DFT calculation (PBE) of crystalline NaSi2SbPt at its relaxed geometry.

Unit cell a=4.826 b=4.826 c=4.839 alpha=90.00 beta=90.00 gamma=90.00
Atoms (fractional coordinates):
Na (0.000, 0.000, 0.000)
Si (0.000, 0.500, 0.000)
Si (0.500, 0.000, 0.000)
Sb (0.500, 0.500, 0.500)
Pt (0.000, 0.000, 0.500)

Calculated values
SG	No. 123
formation energy (no corrections)	1.256	eV per atom
total DFT energy (no corrections)	-0.236	Ry/atom

---

Copy entry 6 word for word.
The following is a DFT calculation (PBE) of crystalline Zr3Zn5H12 at its relaxed geometry.

Unit cell a=9.928 b=9.928 c=9.928 alpha=109.47 beta=109.47 gamma=109.47
Atoms (fractional coordinates):
Zr (0.125, 0.250, 0.375)
Zr (0.125, 0.375, 0.750)
Zr (0.250, 0.375, 0.125)
Zr (0.250, 0.875, 0.625)
Zr (0.375, 0.125, 0.250)
Zr (0.375, 0.750, 0.125)
Zr (0.625, 0.250, 0.875)
Zr (0.625, 0.875, 0.750)
Zr (0.750, 0.125, 0.375)
Zr (0.750, 0.625, 0.875)
Zr (0.875, 0.625, 0.250)
Zr (0.875, 0.750, 0.625)
Zn (0.000, 0.000, 0.000)
Zn (0.000, 0.000, 0.500)
Zn (0.000, 0.500, 0.000)
Zn (0.000, 0.500, 0.500)
Zn (0.125, 0.750, 0.875)
Zn (0.125, 0.875, 0.250)
Zn (0.250, 0.125, 0.875)
Zn (0.250, 0.625, 0.375)
Zn (0.375, 0.250, 0.625)
Zn (0.375, 0.625, 0.750)
Zn (0.500, 0.000, 0.000)
Zn (0.500, 0.000, 0.500)
Zn (0.500, 0.500, 0.000)
Zn (0.500, 0.500, 0.500)
Zn (0.625, 0.375, 0.250)
Zn (0.625, 0.750, 0.375)
Zn (0.750, 0.375, 0.625)
Zn (0.750, 0.875, 0.125)
Zn (0.875, 0.125, 0.750)
Zn (0.875, 0.250, 0.125)
H (0.056, 0.234, 0.144)
H (0.056, 0.322, 0.912)
H (0.088, 0.644, 0.409)
H (0.088, 0.944, 0.678)
H (0.091, 0.734, 0.678)
H (0.091, 0.856, 0.412)
H (0.144, 0.056, 0.234)
H (0.144, 0.588, 0.909)
H (0.178, 0.234, 0.591)
H (0.178, 0.444, 0.588)
H (0.234, 0.144, 0.056)
H (0.234, 0.591, 0.178)
H (0.266, 0.322, 0.909)
H (0.266, 0.444, 0.356)
H (0.322, 0.909, 0.266)
H (0.322, 0.912, 0.056)
H (0.356, 0.266, 0.444)
H (0.356, 0.591, 0.912)
H (0.409, 0.088, 0.644)
H (0.409, 0.822, 0.766)
H (0.412, 0.091, 0.856)
H (0.412, 0.822, 0.556)
H (0.444, 0.356, 0.266)
H (0.444, 0.588, 0.178)
H (0.556, 0.412, 0.822)
H (0.556, 0.644, 0.734)
H (0.588, 0.178, 0.444)
H (0.588, 0.909, 0.144)
H (0.591, 0.178, 0.234)
H (0.591, 0.912, 0.356)
H (0.644, 0.409, 0.088)
H (0.644, 0.734, 0.556)
H (0.678, 0.088, 0.944)
H (0.678, 0.091, 0.734)
H (0.734, 0.556, 0.644)
H (0.734, 0.678, 0.091)
H (0.766, 0.409, 0.822)
H (0.766, 0.856, 0.944)
H (0.822, 0.556, 0.412)
H (0.822, 0.766, 0.409)
H (0.856, 0.412, 0.091)
H (0.856, 0.944, 0.766)
H (0.909, 0.144, 0.588)
H (0.909, 0.266, 0.322)
H (0.912, 0.056, 0.322)
H (0.912, 0.356, 0.591)
H (0.944, 0.678, 0.088)
H (0.944, 0.766, 0.856)

Calculated values
SG	No. 230
total DFT energy (no corrections)	-0.262	Ry/atom

---

total DFT energy (no corrections) of number 7 (Rb2BaPaO4)?
-0.485 Ry/atom

---

Among the records above, which one has the lowest total DFT energy (no corrections)?
HfNb2Fe

---

What did the fifth record say?
The following is a DFT calculation (PBE) of crystalline HfNb2Fe at its relaxed geometry.

Unit cell a=3.127 b=3.127 c=7.098 alpha=90.00 beta=90.00 gamma=90.00
Atoms (fractional coordinates):
Hf (0.000, 0.000, 0.000)
Nb (0.500, 0.500, 0.286)
Nb (0.500, 0.500, 0.714)
Fe (0.000, 0.000, 0.500)

Calculated values
SG	No. 123
energy of formation	10	meV/atom
total DFT energy (no corrections)	-0.708	Ry/atom